BOsN3: optimized geometry, GGA-PBEsol.

Magnetic moment: 0.0 μB/f.u.
Electronic total energy: -0.5505 Ry/atom
Space-group type: Pm-3m
Formation energy (no corrections): 1.47 eV/atom

a b c (Å): 3.3532 3.3532 3.3532
angles (deg): 90.00 90.00 90.00
Last column: nearest neighbours and their distance in Å.
Atoms (fractional coordinates):
B: 0.0000 0.0000 0.0000  6 N 1.68
Os: 0.5000 0.5000 0.5000  12 N 2.37
N: 0.0000 0.5000 0.0000  2 B 1.68
N: 0.0000 0.0000 0.5000  2 B 1.68
N: 0.5000 0.0000 0.0000  2 B 1.68